A geometry-optimized Na5Sr12Tl2 structure. Source: Alexandria, functional PBE.

```
19
Lattice="12.4319 0.0000 0.0000 -6.2159 7.0846 2.1108 0.0000 -0.5550 9.6647" Properties=species:S:1:pos:R:3 pbc="T T T"
Na 0.0000 3.1021 5.4939
Na 0.0000 5.4175 2.5587
Na 0.0000 -0.2775 4.8323
Na 6.2159 1.1121 9.2168
Na 6.2159 3.4275 6.2815
Sr 6.2159 5.3970 3.0238
Sr -3.9389 4.2681 9.3332
Sr 3.9389 4.2681 9.3332
Sr -2.8972 5.3765 5.2870
Sr 2.8972 5.3765 5.2870
Sr 0.0000 5.3383 8.5816
Sr 6.2159 1.1913 3.1938
Sr 9.1132 1.1531 6.4885
Sr 3.3187 1.1531 6.4885
Sr 10.1549 2.2615 2.4422
Sr 2.2770 2.2615 2.4422
Sr 0.0000 1.1327 8.7517
Tl 9.2921 0.0000 0.0000
Tl 3.1398 0.0000 0.0000
```

Calculated values
The calculation puts the total DFT energy (no corrections) at -1.70 eV per atom. Its space group is No. 12. Its energy of formation from the pure elements is -0.043 eV per atom. Its theoretical density is 3.021 Mg/m³.

=====

A geometry-optimized NaSr3Tl structure. Source: Alexandria, functional PBE.

```
10
Lattice="-0.2654 -5.2105 0.6749 3.2992 -1.3512 -9.1317 8.1697 -0.0332 2.9566" Properties=species:S:1:pos:R:3 pbc="T T T"
Na 3.0493 -4.2555 -0.8996
Na 8.1542 -2.3394 -4.6005
Sr 2.6412 -4.9228 -6.2102
Sr 8.5623 -1.6722 0.7100
Sr 5.4206 -3.9798 2.1609
Sr 6.8280 -4.5562 -1.7344
Sr 5.7828 -2.6151 -7.6610
Sr 4.3755 -2.0387 -3.7657
Tl 5.8752 -4.9359 -5.0397
Tl 5.3283 -1.6590 -0.4604
```

Calculated values
The calculation puts the total DFT energy (no corrections) at -1.87 eV per atom. Its space group is No. 59. Its energy of formation from the pure elements is -0.122 eV per atom. Its theoretical density is 3.634 Mg/m³.

=====

A geometry-optimized NaSr6Tl2 structure. Source: Alexandria, functional PBE.

```
18
Lattice="-3.8335 4.2667 8.4664 -1.7469 -10.0038 -1.2053 10.2252 0.1439 -0.0694" Properties=species:S:1:pos:R:3 pbc="T T T"
Na 4.2392 -4.9300 -0.6373
Na 0.0000 0.0000 0.0000
Sr 5.0849 -4.7378 3.5020
Sr -0.4401 -0.8554 3.6897
Sr 7.4010 -2.3567 0.4883
Sr -2.7562 -3.2366 6.7035
Sr 1.3103 -4.1466 5.7721
Sr 3.3346 -1.4467 1.4196
Sr 7.7679 -6.6025 0.7531
Sr -3.1230 1.0092 6.4387
Sr 3.5503 -0.5097 5.3548
Sr 1.0946 -5.0835 1.8369
Sr 3.9054 -8.3525 1.4143
Sr 0.7394 2.7592 5.7774
Tl 6.3604 -1.4749 3.7228
Tl -1.7155 -4.1184 3.4690
Tl 4.2778 2.9518 5.6198
Tl 2.1140 1.4587 2.7772
```

Calculated values
The calculation puts the total DFT energy (no corrections) at -1.98 eV per atom. Its space group is No. 71. Its energy of formation from the pure elements is -0.190 eV per atom. Its theoretical density is 3.938 Mg/m³.

=====

A geometry-optimized Na3SrTl4 structure. Source: Alexandria, functional PBE.

```
16
Lattice="5.4564 0.0000 0.0000 0.0000 8.0000 0.0000 0.0000 0.0000 10.9108" Properties=species:S:1:pos:R:3 pbc="T T T"
Na 0.0000 0.0000 0.0000
Na 0.0000 0.0000 5.4554
Na 2.7252 0.0000 8.1831
Na 2.7312 0.0000 2.7277
Na 2.7265 4.0000 8.1831
Na 2.7299 4.0000 2.7277
Tl 2.7282 6.1524 0.0000
Tl 2.7282 6.1524 5.4554
Tl 2.7282 1.8475 0.0000
Tl 2.7282 1.8475 5.4554
Tl 5.4524 6.1505 8.1831
Tl 0.0040 6.1505 2.7277
Tl 0.0040 1.8495 2.7277
Tl 5.4524 1.8495 8.1831
Sr 0.0000 4.0000 0.0000
Sr 0.0000 4.0000 5.4554
```

Calculated values
The calculation puts the total DFT energy (no corrections) at -2.05 eV per atom. Its space group is No. 123. Its energy of formation from the pure elements is -0.166 eV per atom. Its theoretical density is 6.793 Mg/m³.

=====

A geometry-optimized Na2SrTl4 structure. Source: Alexandria, functional PBE.

```
7
Lattice="-4.5795 -2.5511 -3.9378 1.6624 -4.8042 -3.6415 -2.3483 -1.3814 5.9635" Properties=species:S:1:pos:R:3 pbc="T T T"
Na -2.2014 -5.5837 -1.6923
Na -3.0640 -3.1531 0.0765
Sr 0.0000 0.0000 0.0000
Tl -1.6731 -4.8849 -4.9344
Tl -3.5923 -3.8519 3.3186
Tl -0.9313 -2.3414 2.5405
Tl -4.3341 -6.3954 -4.1563
```

Calculated values
The calculation puts the total DFT energy (no corrections) at -2.16 eV per atom. Its space group is No. 12. Its energy of formation from the pure elements is -0.189 eV per atom. Its theoretical density is 7.479 Mg/m³.

=====

A geometry-optimized Na4SrTl8 structure. Source: Alexandria, functional PBE.

```
13
Lattice="6.3686 0.0000 0.0000 3.1843 7.7845 0.0000 3.1843 0.0000 7.7845" Properties=species:S:1:pos:R:3 pbc="T T T"
Na 1.5922 0.0000 3.8923
Na 4.7765 0.0000 3.8923
Na 1.5922 3.8923 0.0000
Na 4.7765 3.8923 0.0000
Sr 0.0000 0.0000 0.0000
Tl 3.1843 2.7534 5.0312
Tl 3.1843 5.0312 2.7534
Tl 6.3686 5.0312 5.0312
Tl 6.3686 2.7534 2.7534
Tl 6.3686 6.1386 1.6460
Tl 6.3686 1.6460 6.1386
Tl 3.1843 1.6460 1.6460
Tl 9.5529 6.1386 6.1386
```

Calculated values
The calculation puts the total DFT energy (no corrections) at -2.10 eV per atom. Its space group is No. 139. Its energy of formation from the pure elements is -0.109 eV per atom. Its theoretical density is 7.808 Mg/m³.

=====

Q: Number 1 is which compound?
A: Na5Sr12Tl2